[1]
DFT (GGA-PBE) results for a geometry-optimized Pm3Nd6Y2Tm structure.

a b c (Å): 6.321 6.321 11.996
angles (deg): 95.03 95.03 120.01
Fractional positions:
1 Pm 0.000 0.000 0.000
2 Pm 0.333 0.667 0.000
3 Pm 0.667 0.333 0.000
4 Nd 0.085 0.417 0.253
5 Nd 0.251 0.251 0.747
6 Nd 0.417 0.085 0.253
7 Nd 0.583 0.915 0.747
8 Nd 0.749 0.749 0.253
9 Nd 0.915 0.583 0.747
10 Y 0.167 0.833 0.500
11 Y 0.833 0.167 0.500
12 Tm 0.500 0.500 0.500

Properties
ρ in Mg/m³: 6.69
Uncorrected energy in eV per formula unit: -60.10
Formation energy in eV/f.u.: 0.15

[2]
DFT (GGA-PBE) results for a geometry-optimized Tl3CoBr6 structure.

a b c (Å): 8.587 8.587 8.587
angles (deg): 87.48 87.48 87.48
Fractional positions:
1 Tl 0.129 0.156 0.536
2 Tl 0.156 0.536 0.129
3 Tl 0.464 0.871 0.844
4 Tl 0.536 0.129 0.156
5 Tl 0.844 0.464 0.871
6 Tl 0.871 0.844 0.464
7 Co 0.000 0.000 0.000
8 Co 0.500 0.500 0.500
9 Br 0.099 0.813 0.811
10 Br 0.187 0.189 0.901
11 Br 0.189 0.901 0.187
12 Br 0.215 0.515 0.500
13 Br 0.485 0.500 0.785
14 Br 0.500 0.215 0.515
15 Br 0.500 0.785 0.485
16 Br 0.515 0.500 0.215
17 Br 0.785 0.485 0.500
18 Br 0.811 0.099 0.813
19 Br 0.813 0.811 0.099
20 Br 0.901 0.187 0.189

Properties
Excess energy over the best structure of this formula in the dataset in meV per atom: 17
ρ in Mg/m³: 6.06
Uncorrected energy in eV per formula unit: -30.28

[3]
DFT (GGA-PBE) results for a geometry-optimized BaCoPb2 structure.

a b c (Å): 9.174 9.174 9.174
angles (deg): 141.95 141.95 54.91
Fractional positions:
1 Ba 0.000 0.000 0.000
2 Ba 0.750 0.250 0.500
3 Co 0.250 0.750 0.500
4 Co 0.500 0.500 0.000
5 Pb 0.322 0.625 0.197
6 Pb 0.375 0.572 0.697
7 Pb 0.428 0.125 0.803
8 Pb 0.875 0.678 0.303

Properties
ρ in Mg/m³: 6.96
Uncorrected energy in eV per formula unit: -15.82
Formation energy in eV/f.u.: 0.63

[4]
DFT (GGA-PBE) results for a geometry-optimized Na2NpI6 structure.

a b c (Å): 7.554 7.554 13.901
angles (deg): 90.00 90.00 90.00
Fractional positions:
1 Na 0.000 0.000 0.167
2 Na 0.000 0.000 0.833
3 Na 0.500 0.500 0.333
4 Na 0.500 0.500 0.667
5 Np 0.000 0.000 0.500
6 Np 0.500 0.500 0.000
7 I 0.195 0.195 0.344
8 I 0.195 0.195 0.656
9 I 0.217 0.217 0.000
10 I 0.283 0.717 0.500
11 I 0.305 0.695 0.156
12 I 0.305 0.695 0.844
13 I 0.695 0.305 0.156
14 I 0.695 0.305 0.844
15 I 0.717 0.283 0.500
16 I 0.783 0.783 0.000
17 I 0.805 0.805 0.344
18 I 0.805 0.805 0.656

Properties
Excess energy over the best structure of this formula in the dataset in meV per atom: 9
ρ in Mg/m³: 4.37
Uncorrected energy in eV per formula unit: -33.61

[5]
DFT (GGA-PBE) results for a geometry-optimized Ba2CrMo structure.

a b c (Å): 6.762 6.762 6.762
angles (deg): 146.97 130.02 61.22
Fractional positions:
1 Ba 0.000 0.000 0.000
2 Ba 0.707 0.207 0.500
3 Cr 0.300 0.800 0.500
4 Mo 0.414 0.414 0.000

Properties
Excess energy over the best structure of this formula in the dataset in meV per atom: 82
ρ in Mg/m³: 5.49
Uncorrected energy in eV per formula unit: -21.07
Formation energy in eV/f.u.: 3.23

[6]
DFT (GGA-PBE) results for a geometry-optimized ScP2CCl structure.

a b c (Å): 3.787 3.787 5.681
angles (deg): 90.00 90.00 90.00
Fractional positions:
1 Sc 0.000 0.000 0.000
2 P 0.000 0.500 0.500
3 P 0.500 0.000 0.500
4 C 0.500 0.500 0.500
5 Cl 0.500 0.500 0.000

Properties
Excess energy over the best structure of this formula in the dataset in meV per atom: 0
ρ in Mg/m³: 3.15
Uncorrected energy in eV per formula unit: -26.27

[7]
DFT (GGA-PBE) results for a geometry-optimized NaCa3O structure.

a b c (Å): 5.091 5.091 5.091
angles (deg): 90.00 90.00 90.00
Fractional positions:
1 Na 0.000 0.000 0.000
2 Ca 0.000 0.500 0.500
3 Ca 0.500 0.000 0.500
4 Ca 0.500 0.500 0.000
5 O 0.500 0.500 0.500

Properties
Excess energy over the best structure of this formula in the dataset in meV per atom: 0
ρ in Mg/m³: 2.00
Uncorrected energy in eV per formula unit: -17.22

[8]
DFT (GGA-PBE) results for a geometry-optimized Sm2TmMnSe6 structure.

a b c (Å): 7.469 7.469 7.469
angles (deg): 56.92 56.92 56.92
Fractional positions:
1 Sm 0.000 0.000 0.000
2 Sm 0.499 0.499 0.499
3 Tm 0.201 0.201 0.201
4 Mn 0.699 0.699 0.699
5 Se 0.060 0.440 0.820
6 Se 0.337 0.920 0.580
7 Se 0.440 0.820 0.060
8 Se 0.580 0.337 0.920
9 Se 0.820 0.060 0.440
10 Se 0.920 0.580 0.337

Properties
ρ in Mg/m³: 6.06
Uncorrected energy in eV per formula unit: -58.10